1.
The following is a SCAN calculation of a crystal of CoIr3 relaxed with PBEsol, from Alexandria.

```
CoIr3
1.0
2.672 0.000 0.000
0.000 4.585 -0.002
0.000 -1.510 4.329
Ir Co
3 1
Cartesian
1.336 -0.755 2.165
1.336 2.293 -0.001
0.000 1.537 2.164
0.000 0.000 0.000
```

Output
Energy relative to the elements ... 2.2 kJ/mol of atoms


2.
The following is a SCAN calculation of a crystal of Mn2CoSi relaxed with PBEsol, from Alexandria.

```
Mn2CoSi
1.0
-0.268 -2.392 0.688
1.957 -1.558 -0.099
2.435 0.573 7.498
Mn Si Co
2 1 1
Cartesian
3.094 -2.532 6.068
1.030 -0.845 2.019
2.062 -1.689 4.043
0.000 0.000 0.000
```

Output
ΔE_f (raw) ... 0.056 eV per atom


3.
The following is a SCAN calculation of a crystal of TaAl2Tl relaxed with PBEsol, from Alexandria.

```
TaAl2Tl
1.0
3.529 0.000 0.000
0.000 3.529 0.000
0.000 0.000 5.878
Tl Al Ta
1 2 1
Cartesian
1.765 1.765 2.939
0.000 0.000 4.587
0.000 0.000 1.291
1.765 1.765 0.000
```

Output
Energy relative to the elements ... 13.8 kJ/mol of atoms


4.
The following is a SCAN calculation of a crystal of KCuOs relaxed with PBEsol, from Alexandria.

```
KCuOs
1.0
2.643 0.000 0.000
0.000 2.643 0.000
-1.321 -1.321 7.456
Os K Cu
1 1 1
Cartesian
0.000 0.000 5.277
1.321 1.321 2.525
1.321 1.321 7.111
```

Output
Energy relative to the elements ... 93.3 kJ/mol of atoms


5.
The following is a SCAN calculation of a crystal of BaZr2W relaxed with PBEsol, from Alexandria.

```
BaZr2W
1.0
3.225 0.000 0.000
0.000 5.991 0.000
-1.613 -2.996 5.225
Zr Ba W
2 1 1
Cartesian
1.613 2.996 2.151
0.000 0.000 3.075
1.613 0.000 0.000
0.000 2.996 0.000
```

Output
Energy relative to the elements ... 78.2 kJ/mol of atoms


6.
The following is a SCAN calculation of a crystal of SbRh2Br relaxed with PBEsol, from Alexandria.

```
SbRh2Br
1.0
3.188 0.000 0.000
0.000 4.605 0.000
0.000 0.000 4.605
Sb Br Rh
1 1 2
Cartesian
1.594 2.303 2.303
1.594 0.000 0.000
0.000 2.303 0.000
0.000 0.000 2.303
```

Output
ΔE_f (raw) ... 0.313 eV per atom


7.
The following is a SCAN calculation of a crystal of PrEu3 relaxed with PBEsol, from Alexandria.

```
PrEu3
1.0
-0.969 -3.336 4.897
6.585 2.135 2.757
-6.127 3.968 1.492
Eu Pr
6 2
Cartesian
-4.234 2.826 2.928
-0.968 3.886 4.296
0.683 1.910 6.957
0.457 -1.118 4.850
3.722 -0.059 6.217
-1.195 0.858 2.189
2.105 1.912 3.560
-2.617 0.855 5.586
```

Output
Energy relative to the elements ... 5.6 kJ/mol of atoms


8.
The following is a SCAN calculation of a crystal of CrOs2Ru relaxed with PBEsol, from Alexandria.

```
CrOs2Ru
1.0
2.785 0.000 0.000
0.000 4.424 0.000
0.000 0.000 4.439
Os Ru Cr
2 1 1
Cartesian
1.392 0.000 2.219
0.000 0.000 0.000
1.392 2.212 0.000
0.000 2.212 2.219
```

Output
Energy relative to the elements ... 36.9 kJ/mol of atoms


9.
The following is a SCAN calculation of a crystal of Mn2CdSi relaxed with PBEsol, from Alexandria.

```
Mn2CdSi
1.0
3.641 0.000 0.000
0.000 4.127 0.000
-1.821 -2.063 3.654
Si Cd Mn
1 1 2
Cartesian
1.821 0.000 0.000
0.000 2.063 0.000
0.000 0.000 1.686
1.821 2.063 1.967
```

Output
ΔE_f (raw) ... 0.022 eV per atom


10.
The following is a SCAN calculation of a crystal of As2RuPb relaxed with PBEsol, from Alexandria.

```
As2RuPb
1.0
-1.766 0.787 -2.318
-2.088 -2.084 0.883
-1.942 6.637 5.701
As Pb Ru
2 1 1
Cartesian
-5.120 4.294 3.395
-2.630 3.098 1.091
-2.402 0.088 -0.105
-3.367 2.553 3.433
```

Output
Energy relative to the elements ... -0.7 kJ/mol of atoms


11.
The following is a SCAN calculation of a crystal of YMgAl4 relaxed with PBEsol, from Alexandria.

```
YMgAl4
1.0
-4.295 -3.410 0.520
4.944 -1.991 -1.394
1.921 -1.134 8.429
Al Mg Y
8 2 2
Cartesian
-0.142 -1.795 2.058
2.396 -2.115 5.922
2.711 -4.740 5.497
4.798 -3.083 5.244
0.000 0.000 0.000
0.173 -4.419 1.633
-2.230 -3.452 2.311
0.960 -0.567 4.215
-0.144 -3.569 4.584
2.713 -2.965 2.971
0.573 -3.993 7.732
1.996 -2.541 -0.177
```

Output
Energy relative to the elements ... -27.0 kJ/mol of atoms


12.
The following is a SCAN calculation of a crystal of Pr2MgPd2 relaxed with PBEsol, from Alexandria.

```
Pr2MgPd2
1.0
3.969 0.000 0.000
0.000 7.700 0.000
0.000 0.000 7.700
Pd Mg Pr
4 2 4
Cartesian
0.000 6.702 2.852
0.000 4.848 6.702
0.000 0.998 4.848
0.000 2.852 0.998
0.000 0.000 0.000
0.000 3.850 3.850
1.984 2.534 6.384
1.984 5.166 1.316
1.984 6.384 5.166
1.984 1.316 2.534
```

Output
Energy relative to the elements ... -74.4 kJ/mol of atoms


13.
The following is a SCAN calculation of a crystal of TaNiPb2 relaxed with PBEsol, from Alexandria.

```
TaNiPb2
1.0
4.800 0.000 0.000
2.400 4.157 0.000
2.400 1.386 3.920
Ta Pb Ni
1 2 1
Cartesian
4.800 2.772 1.960
2.400 1.386 0.980
7.201 4.157 2.940
0.000 0.000 0.000
```

Output
Energy relative to the elements ... 77.6 kJ/mol of atoms


14.
The following is a SCAN calculation of a crystal of Ga2MoSe2O10 relaxed with PBEsol, from Alexandria.

```
Ga2MoSe2O10
1.0
6.033 0.000 0.000
0.000 8.842 0.000
0.000 0.000 14.874
O Ga Mo Se
40 8 4 8
Cartesian
3.170 1.546 8.382
2.863 7.297 6.492
1.508 3.669 13.689
1.508 1.059 5.823
0.161 7.973 1.677
4.525 3.376 3.006
1.508 5.480 1.614
0.152 7.504 11.011
2.865 7.504 11.011
5.880 1.546 8.382
2.863 2.875 0.945
4.525 3.362 13.260
0.152 3.083 11.300
1.508 7.954 4.152
0.153 2.875 0.945
2.856 3.552 5.759
4.525 0.752 6.252
5.880 5.967 13.929
1.508 5.467 11.868
4.525 5.309 11.589
2.865 3.083 11.300
1.508 8.090 8.621
4.525 0.888 10.722
5.881 1.338 3.863
3.168 1.338 3.863
3.177 5.290 9.114
5.881 5.759 3.574
4.525 7.797 4.431
3.168 5.759 3.574
1.508 1.045 10.443
4.525 5.173 1.184
3.177 0.869 13.196
0.153 7.297 6.492
2.856 7.973 1.677
1.508 3.533 3.285
0.161 3.552 5.759
5.872 5.290 9.114
5.872 0.869 13.196
3.170 5.967 13.929
4.525 7.783 9.051
3.052 0.071 9.631
2.981 8.772 5.243
0.036 4.351 2.194
3.052 4.492 12.679
5.997 0.071 9.631
0.036 8.772 5.243
5.997 4.492 12.679
2.981 4.351 2.194
4.525 1.594 12.454
1.508 7.249 2.420
1.508 2.827 5.017
4.525 6.015 9.856
4.525 2.057 7.472
4.525 1.592 2.832
1.508 2.830 10.269
1.508 7.251 12.042
1.508 2.364 0.035
1.508 6.785 7.402
4.525 6.013 4.605
4.525 6.478 14.839
```

Output
ΔE_f (raw) ... -1.589 eV per atom


15.
The following is a SCAN calculation of a crystal of FeHg2Cl relaxed with PBEsol, from Alexandria.

```
FeHg2Cl
1.0
2.995 0.000 0.000
-1.497 2.804 0.000
0.000 0.000 9.829
Fe Cl Hg
1 1 2
Cartesian
1.497 0.000 7.221
0.000 0.000 5.543
1.497 0.000 2.365
0.000 0.000 9.444
```

Output
ΔE_f (raw) ... -0.028 eV per atom


16.
The following is a SCAN calculation of a crystal of CaCoMo4 relaxed with PBEsol, from Alexandria.

```
CaCoMo4
1.0
5.239 0.000 0.000
2.620 4.537 0.000
2.620 1.512 4.278
Ca Mo Co
1 4 1
Cartesian
7.859 4.537 3.208
6.545 2.271 1.606
5.239 3.025 3.738
5.239 4.532 1.606
3.934 2.271 1.606
0.000 0.000 0.000
```

Output
Energy relative to the elements ... 69.6 kJ/mol of atoms


17.
The following is a SCAN calculation of a crystal of CaZr2SnAu relaxed with PBEsol, from Alexandria.

```
CaZr2SnAu
1.0
-0.247 -4.824 0.716
4.931 -0.399 -0.985
1.031 0.674 4.891
Zr Au Ca Sn
2 1 1 1
Cartesian
0.516 0.337 2.446
2.465 -0.200 -0.492
-0.124 -2.412 0.358
0.000 0.000 0.000
2.857 -2.275 2.311
```

Output
Energy relative to the elements ... 116.9 kJ/mol of atoms


18.
The following is a SCAN calculation of a crystal of K3Co relaxed with PBEsol, from Alexandria.

```
K3Co
1.0
-5.576 1.667 1.695
1.214 -0.971 -5.890
-2.302 -4.863 -2.791
K Co
3 1
Cartesian
-5.302 -2.882 -3.768
-1.362 -1.285 -3.219
-3.939 -1.598 -0.548
0.000 0.000 0.000
```

Output
Energy relative to the elements ... 77.3 kJ/mol of atoms


19.
The following is a SCAN calculation of a crystal of Sr2MgZn relaxed with PBEsol, from Alexandria.

```
Sr2MgZn
1.0
-3.594 0.900 -0.937
0.359 -3.357 -4.601
-0.315 -3.245 5.885
Mg Zn Sr
1 1 2
Cartesian
-2.960 -2.245 1.407
-1.849 -4.278 2.984
-0.628 -3.549 -0.999
-0.045 -0.104 0.073
```

Output
Energy relative to the elements ... -9.2 kJ/mol of atoms


20.
The following is a SCAN calculation of a crystal of RbIn2TcPt relaxed with PBEsol, from Alexandria.

```
RbIn2TcPt
1.0
5.030 0.000 0.000
0.000 5.711 0.000
0.000 0.000 5.711
Tc Pt In Rb
1 1 2 1
Cartesian
2.515 2.856 2.856
2.515 0.000 0.000
0.000 2.856 0.000
0.000 0.000 2.856
0.000 0.000 0.000
```

Output
Energy relative to the elements ... 202.4 kJ/mol of atoms


Results for DOS(E_F): 3.8; 2.6; 2.0; 1.0; 5.3; 3.2; 10.7; 4.5; 2.5; 1.9; 4.7; 6.0; 3.3; 0.0; 1.8; 5.3; 3.7; 5.9; 2.8; 3.5 (in states/eV per cell, following the order of the records).